1.
VASP calculation (PBE-GGA) on a relaxed KMgHg2 crystal. Values from VASP.

Geometry as Quantum ESPRESSO input:
```
&SYSTEM
  ibrav = 0, nat = 4, ntyp = 3
/
ATOMIC_SPECIES
K 39.10 K.upf
Mg 24.30 Mg.upf
Hg 200.59 Hg.upf
CELL_PARAMETERS angstrom
3.711 0.000 0.000
0.000 4.184 0.000
0.000 0.000 7.901
ATOMIC_POSITIONS crystal
K 0.000 0.000 0.000
Mg 0.500 0.500 0.350
Hg 0.000 0.000 0.469
Hg 0.500 0.500 0.730
```

## Properties
calculated volume = 122.7 Å³ per cell
energy relative to the elements = -0.114 eV/atom
DOS at the Fermi energy = 1.32 states/eV/cell


2.
VASP calculation (PBE-GGA) on a relaxed K2MgHg2 crystal. Values from VASP.

Geometry as Quantum ESPRESSO input:
```
&SYSTEM
  ibrav = 0, nat = 10, ntyp = 3
/
ATOMIC_SPECIES
K 39.10 K.upf
Mg 24.30 Mg.upf
Hg 200.59 Hg.upf
CELL_PARAMETERS angstrom
6.187 -3.526 0.000
6.187 3.526 0.000
-1.620 0.000 8.182
ATOMIC_POSITIONS crystal
K 0.020 0.271 0.134
K 0.271 0.020 0.634
K 0.729 0.980 0.366
K 0.980 0.729 0.866
Mg 0.417 0.583 0.250
Mg 0.583 0.417 0.750
Hg 0.219 0.501 0.490
Hg 0.499 0.781 0.010
Hg 0.501 0.219 0.990
Hg 0.781 0.499 0.510
```

## Properties
E above lowest polymorph = 0 meV per atom
calculated volume = 357.0 Å³ per cell
energy relative to the elements = -0.178 eV/atom
DOS at the Fermi energy = 4.36 states/eV/cell


3.
VASP calculation (PBE-GGA) on a relaxed KMg2Hg crystal. Values from VASP.

Geometry as Quantum ESPRESSO input:
```
&SYSTEM
  ibrav = 0, nat = 8, ntyp = 3
/
ATOMIC_SPECIES
K 39.10 K.upf
Mg 24.30 Mg.upf
Hg 200.59 Hg.upf
CELL_PARAMETERS angstrom
-2.870 2.870 9.782
2.870 -2.870 9.782
2.870 2.870 -9.782
ATOMIC_POSITIONS crystal
K 0.000 0.000 0.000
K 0.750 0.250 0.500
Mg 0.348 0.625 0.223
Mg 0.375 0.598 0.723
Mg 0.402 0.125 0.777
Mg 0.875 0.652 0.277
Hg 0.250 0.750 0.500
Hg 0.500 0.500 0.000
```

## Properties
calculated volume = 322.4 Å³ per cell
energy relative to the elements = 0.130 eV/atom
DOS at the Fermi energy = 4.68 states/eV/cell


4.
VASP calculation (PBE-GGA) on a relaxed KMg4Hg2 crystal. Values from VASP.

Geometry as Quantum ESPRESSO input:
```
&SYSTEM
  ibrav = 0, nat = 14, ntyp = 3
/
ATOMIC_SPECIES
K 39.10 K.upf
Mg 24.30 Mg.upf
Hg 200.59 Hg.upf
CELL_PARAMETERS angstrom
8.759 0.000 0.000
0.000 8.759 0.000
0.000 0.000 4.789
ATOMIC_POSITIONS crystal
K 0.000 0.000 0.000
K 0.500 0.500 0.500
Mg 0.092 0.349 0.500
Mg 0.151 0.592 0.000
Mg 0.349 0.092 0.500
Mg 0.408 0.849 0.000
Mg 0.592 0.151 0.000
Mg 0.651 0.908 0.500
Mg 0.849 0.408 0.000
Mg 0.908 0.651 0.500
Hg 0.219 0.781 0.500
Hg 0.281 0.281 0.000
Hg 0.719 0.719 0.000
Hg 0.781 0.219 0.500
```

## Properties
calculated volume = 367.4 Å³ per cell
energy relative to the elements = -0.156 eV/atom
DOS at the Fermi energy = 5.03 states/eV/cell


5.
VASP calculation (PBE-GGA) on a relaxed K3Mg2Hg9 crystal. Values from VASP.

Geometry as Quantum ESPRESSO input:
```
&SYSTEM
  ibrav = 0, nat = 14, ntyp = 3
/
ATOMIC_SPECIES
K 39.10 K.upf
Mg 24.30 Mg.upf
Hg 200.59 Hg.upf
CELL_PARAMETERS angstrom
-2.430 5.811 7.266
2.430 -5.811 7.266
2.430 5.811 -7.266
ATOMIC_POSITIONS crystal
K 0.000 0.000 0.000
K 0.295 0.295 0.000
K 0.705 0.705 0.000
Mg 0.311 0.500 0.811
Mg 0.689 0.500 0.189
Hg 0.019 0.655 0.364
Hg 0.156 0.868 0.288
Hg 0.292 0.655 0.636
Hg 0.420 0.132 0.288
Hg 0.500 0.000 0.500
Hg 0.580 0.868 0.712
Hg 0.708 0.345 0.364
Hg 0.844 0.132 0.712
Hg 0.981 0.345 0.636
```

## Properties
calculated volume = 410.3 Å³ per cell
energy relative to the elements = -0.209 eV/atom
DOS at the Fermi energy = 4.20 states/eV/cell


6.
VASP calculation (PBE-GGA) on a relaxed KMgHg2 crystal. Values from VASP.

Geometry as Quantum ESPRESSO input:
```
&SYSTEM
  ibrav = 0, nat = 4, ntyp = 3
/
ATOMIC_SPECIES
K 39.10 K.upf
Mg 24.30 Mg.upf
Hg 200.59 Hg.upf
CELL_PARAMETERS angstrom
0.000 3.864 3.864
3.864 0.000 3.864
3.864 3.864 0.000
ATOMIC_POSITIONS crystal
K 0.000 0.000 0.000
Mg 0.250 0.250 0.250
Hg 0.500 0.500 0.500
Hg 0.750 0.750 0.750
```

## Properties
calculated volume = 115.4 Å³ per cell
energy relative to the elements = -0.029 eV/atom
DOS at the Fermi energy = 1.73 states/eV/cell


7.
VASP calculation (PBE-GGA) on a relaxed KMg2Hg2 crystal. Values from VASP.

Geometry as Quantum ESPRESSO input:
```
&SYSTEM
  ibrav = 0, nat = 5, ntyp = 3
/
ATOMIC_SPECIES
K 39.10 K.upf
Mg 24.30 Mg.upf
Hg 200.59 Hg.upf
CELL_PARAMETERS angstrom
-2.392 2.392 6.333
2.392 -2.392 6.333
2.392 2.392 -6.333
ATOMIC_POSITIONS crystal
K 0.000 0.000 0.000
Mg 0.250 0.750 0.500
Mg 0.750 0.250 0.500
Hg 0.382 0.382 0.000
Hg 0.618 0.618 0.000
```

## Properties
E above lowest polymorph = 0 meV per atom
calculated volume = 145.0 Å³ per cell
energy relative to the elements = -0.176 eV/atom
DOS at the Fermi energy = 2.36 states/eV/cell


8.
VASP calculation (PBE-GGA) on a relaxed KMgHg2 crystal. Values from VASP.

Geometry as Quantum ESPRESSO input:
```
&SYSTEM
  ibrav = 0, nat = 4, ntyp = 3
/
ATOMIC_SPECIES
K 39.10 K.upf
Mg 24.30 Mg.upf
Hg 200.59 Hg.upf
CELL_PARAMETERS angstrom
-2.399 2.399 5.099
2.399 -2.399 5.099
2.399 2.399 -5.099
ATOMIC_POSITIONS crystal
K 0.000 0.000 0.000
Mg 0.250 0.750 0.500
Hg 0.500 0.500 0.000
Hg 0.750 0.250 0.500
```

## Properties
calculated volume = 117.3 Å³ per cell
energy relative to the elements = -0.059 eV/atom
DOS at the Fermi energy = 1.97 states/eV/cell


9.
VASP calculation (PBE-GGA) on a relaxed KMgHg2 crystal. Values from VASP.

Geometry as Quantum ESPRESSO input:
```
&SYSTEM
  ibrav = 0, nat = 8, ntyp = 3
/
ATOMIC_SPECIES
K 39.10 K.upf
Mg 24.30 Mg.upf
Hg 200.59 Hg.upf
CELL_PARAMETERS angstrom
-2.808 2.808 9.727
2.808 -2.808 9.727
2.808 2.808 -9.727
ATOMIC_POSITIONS crystal
K 0.000 0.000 0.000
K 0.750 0.250 0.500
Mg 0.250 0.750 0.500
Mg 0.500 0.500 0.000
Hg 0.279 0.625 0.154
Hg 0.375 0.529 0.654
Hg 0.471 0.125 0.846
Hg 0.875 0.721 0.346
```

## Properties
calculated volume = 306.7 Å³ per cell
energy relative to the elements = -0.042 eV/atom
DOS at the Fermi energy = 4.61 states/eV/cell


10.
VASP calculation (PBE-GGA) on a relaxed KMg2Hg2 crystal. Values from VASP.

Geometry as Quantum ESPRESSO input:
```
&SYSTEM
  ibrav = 0, nat = 10, ntyp = 3
/
ATOMIC_SPECIES
K 39.10 K.upf
Mg 24.30 Mg.upf
Hg 200.59 Hg.upf
CELL_PARAMETERS angstrom
8.922 0.000 0.000
0.000 8.922 0.000
0.000 0.000 3.232
ATOMIC_POSITIONS crystal
K 0.000 0.000 0.000
K 0.500 0.500 0.000
Mg 0.125 0.375 0.000
Mg 0.375 0.875 0.000
Mg 0.625 0.125 0.000
Mg 0.875 0.625 0.000
Hg 0.169 0.669 0.500
Hg 0.331 0.169 0.500
Hg 0.669 0.831 0.500
Hg 0.831 0.331 0.500
```

## Properties
E above lowest polymorph = 18 meV per atom
calculated volume = 257.3 Å³ per cell
energy relative to the elements = -0.157 eV/atom
DOS at the Fermi energy = 3.83 states/eV/cell


11.
VASP calculation (PBE-GGA) on a relaxed KMg2Hg9 crystal. Values from VASP.

Geometry as Quantum ESPRESSO input:
```
&SYSTEM
  ibrav = 0, nat = 12, ntyp = 3
/
ATOMIC_SPECIES
K 39.10 K.upf
Mg 24.30 Mg.upf
Hg 200.59 Hg.upf
CELL_PARAMETERS angstrom
9.615 0.000 0.000
-4.808 8.327 0.000
0.000 0.000 4.147
ATOMIC_POSITIONS crystal
K 0.000 0.000 0.000
Mg 0.333 0.667 0.000
Mg 0.667 0.333 0.000
Hg 0.000 0.500 0.000
Hg 0.191 0.382 0.500
Hg 0.191 0.809 0.500
Hg 0.382 0.191 0.500
Hg 0.500 0.000 0.000
Hg 0.500 0.500 0.000
Hg 0.618 0.809 0.500
Hg 0.809 0.191 0.500
Hg 0.809 0.618 0.500
```

## Properties
calculated volume = 332.1 Å³ per cell
energy relative to the elements = -0.100 eV/atom
DOS at the Fermi energy = 3.73 states/eV/cell


12.
VASP calculation (PBE-GGA) on a relaxed K2Mg4Hg crystal. Values from VASP.

Geometry as Quantum ESPRESSO input:
```
&SYSTEM
  ibrav = 0, nat = 7, ntyp = 3
/
ATOMIC_SPECIES
K 39.10 K.upf
Mg 24.30 Mg.upf
Hg 200.59 Hg.upf
CELL_PARAMETERS angstrom
-2.684 2.684 9.586
2.684 -2.684 9.586
2.684 2.684 -9.586
ATOMIC_POSITIONS crystal
K 0.163 0.163 0.000
K 0.837 0.837 0.000
Mg 0.000 0.500 0.500
Mg 0.359 0.359 0.000
Mg 0.500 0.000 0.500
Mg 0.641 0.641 0.000
Hg 0.500 0.500 0.000
```

## Properties
calculated volume = 276.2 Å³ per cell
energy relative to the elements = 0.176 eV/atom
DOS at the Fermi energy = 3.73 states/eV/cell


Which of these has the lowest calculated volume?
number 6


Which of these has the highest DOS at the Fermi energy?
KMg4Hg2


energy relative to the elements of number 9 (KMgHg2)?
-0.042 eV/atom